No. 1
PmPr4Sm2Er | PBE-GGA | optimized geometry

Summary:
- Calculated density: 7.06 g/cm³
- ΔH_f (0 K): 13 meV per atom
- Size of the total moment: 0.00 μB/f.u.
- E_tot: -4.720 eV per atom
- Space-group type: P2/m, No. 10

Cell lengths 5.203, 5.177, 11.516 Å; angles 63.23, 90.00, 90.00 degrees
Sites, in units of the cell vectors:
1 Pm 0.500 0.500 0.000
2 Pr 0.000 0.753 0.747
3 Pr 0.000 0.247 0.253
4 Pr 0.500 0.748 0.252
5 Pr 0.500 0.252 0.748
6 Sm 0.000 0.000 0.000
7 Sm 0.500 0.000 0.500
8 Er 0.000 0.500 0.500



No. 2
Pm2Pr4SmEr | PBE-GGA | optimized geometry

Summary:
- Calculated density: 7.01 g/cm³
- ΔH_f (0 K): 13 meV per atom
- Size of the total moment: 0.00 μB/f.u.
- E_tot: -4.725 eV per atom
- Space-group type: P2/m, No. 10

Cell lengths 5.204, 5.179, 11.533 Å; angles 63.24, 90.00, 90.00 degrees
Sites, in units of the cell vectors:
1 Pm 0.000 0.000 0.000
2 Pm 0.500 0.000 0.500
3 Pr 0.000 0.753 0.748
4 Pr 0.000 0.247 0.252
5 Pr 0.500 0.748 0.252
6 Pr 0.500 0.252 0.748
7 Sm 0.500 0.500 0.000
8 Er 0.000 0.500 0.500



No. 3
Pm3Pr2SmEr6 | PBE-GGA | optimized geometry

Summary:
- Calculated density: 7.98 g/cm³
- ΔH_f (0 K): 14 meV per atom
- Size of the total moment: 0.00 μB/f.u.
- E_tot: -4.645 eV per atom
- Space-group type: C2/m, No. 12

Cell lengths 6.230, 6.230, 11.766 Å; angles 95.05, 95.05, 119.99 degrees
Sites, in units of the cell vectors:
1 Pm 0.167 0.833 0.500
2 Pm 0.833 0.167 0.500
3 Pm 0.500 0.500 0.500
4 Pr 0.333 0.667 0.000
5 Pr 0.667 0.333 0.000
6 Sm 0.000 0.000 0.000
7 Er 0.916 0.583 0.749
8 Er 0.751 0.751 0.251
9 Er 0.084 0.417 0.251
10 Er 0.583 0.916 0.749
11 Er 0.249 0.249 0.749
12 Er 0.417 0.084 0.251



No. 4
Pm3PrSm2Er6 | PBE-GGA | optimized geometry

Summary:
- Calculated density: 8.07 g/cm³
- ΔH_f (0 K): 14 meV per atom
- Size of the total moment: 0.00 μB/f.u.
- E_tot: -4.639 eV per atom
- Space-group type: C2/m, No. 12

Cell lengths 6.214, 6.214, 11.755 Å; angles 95.03, 95.03, 119.98 degrees
Sites, in units of the cell vectors:
1 Pm 0.167 0.833 0.500
2 Pm 0.833 0.167 0.500
3 Pm 0.500 0.500 0.500
4 Pr 0.000 0.000 0.000
5 Sm 0.333 0.667 0.000
6 Sm 0.667 0.333 0.000
7 Er 0.916 0.583 0.750
8 Er 0.750 0.750 0.250
9 Er 0.084 0.417 0.250
10 Er 0.583 0.916 0.750
11 Er 0.250 0.250 0.750
12 Er 0.417 0.084 0.250



No. 5
Pm2Pr5SmEr | PBE-GGA | optimized geometry

Summary:
- Calculated density: 6.83 g/cm³
- ΔH_f (0 K): 279 meV per atom
- Size of the total moment: 0.00 μB/f.u.
- E_tot: -4.463 eV per atom
- Space-group type: I4/mcm, No. 140

Cell lengths 8.820, 8.820, 10.303 Å; angles 115.34, 115.34, 90.00 degrees
Sites, in units of the cell vectors:
1 Pm 0.119 0.381 0.000
2 Pm 0.619 0.119 0.000
3 Pm 0.381 0.881 0.000
4 Pm 0.881 0.619 0.000
5 Pr 0.928 0.428 0.282
6 Pr 0.646 0.146 0.718
7 Pr 0.072 0.572 0.718
8 Pr 0.146 0.072 0.718
9 Pr 0.572 0.646 0.718
10 Pr 0.854 0.928 0.282
11 Pr 0.428 0.354 0.282
12 Pr 0.354 0.854 0.282
13 Pr 0.500 0.500 0.000
14 Pr 0.000 0.000 0.000
15 Sm 0.250 0.250 0.500
16 Sm 0.750 0.750 0.500
17 Er 0.250 0.750 0.500
18 Er 0.750 0.250 0.500



No. 6
PmPr2Sm4Er | PBE-GGA | optimized geometry

Summary:
- Calculated density: 7.29 g/cm³
- ΔH_f (0 K): 15 meV per atom
- Size of the total moment: 0.00 μB/f.u.
- E_tot: -4.703 eV per atom
- Space-group type: P2/m, No. 10

Cell lengths 5.144, 5.139, 11.511 Å; angles 63.40, 90.00, 90.00 degrees
Sites, in units of the cell vectors:
1 Pm 0.500 0.500 0.000
2 Pr 0.000 0.000 0.000
3 Pr 0.500 0.000 0.500
4 Sm 0.000 0.753 0.747
5 Sm 0.000 0.247 0.253
6 Sm 0.500 0.748 0.252
7 Sm 0.500 0.252 0.748
8 Er 0.000 0.500 0.500